1.
# BaAs2PW

A relaxed BaAs2PW crystal (PBE, the Alexandria database).

Structure (extended XYZ):
```
5
Lattice="-5.2343 -1.1915 -1.7470 2.1405 -1.5422 -5.3614 0.6182 -5.3223 1.7778" Properties=species:S:1:pos:R:3 pbc="T T T"
P -1.2378 -4.0280 -2.6653
As 0.3091 -2.6612 0.8889
As -2.6171 -0.5958 -0.8735
Ba 0.0000 0.0000 0.0000
W 1.0703 -0.7711 -2.6807
```

D(E_F) ... 6.9 states/eV/f.u.
E ... -16.43 eV per cell

2.
# Ba2ZnAsP

A relaxed Ba2ZnAsP crystal (PBE, the Alexandria database).

Structure (extended XYZ):
```
10
Lattice="4.3626 0.0000 0.0000 0.0000 8.0248 1.5819 0.0000 -1.6666 8.4337" Properties=species:S:1:pos:R:3 pbc="T T T"
Ba 3.2719 5.3761 5.2990
Ba 3.2719 6.1528 1.3543
Ba 1.0906 0.9821 4.7166
Ba 1.0906 0.2055 8.6613
Zn 1.0906 3.4893 7.2560
Zn 3.2719 2.8690 2.7596
As 1.0906 5.9159 7.7391
As 3.2719 0.4423 2.2765
P 1.0906 4.0500 2.9921
P 3.2719 2.3082 7.0235
```

D(E_F) ... 0.3 states/eV/f.u.
E ... -39.24 eV per cell

3.
# Ba2PaAs3

A relaxed Ba2PaAs3 crystal (PBE, the Alexandria database).

Structure (extended XYZ):
```
12
Lattice="7.6480 -0.0267 -1.2822 -4.1233 6.4414 -1.2822 0.0153 0.0279 7.9479" Properties=species:S:1:pos:R:3 pbc="T T T"
Ba 5.6939 1.0651 2.6917
Ba -0.1996 4.2853 -1.2822
Ba -2.0799 5.3367 2.6917
Ba 1.6962 3.2618 2.6917
Pa -4.0951 6.4621 6.6657
Pa 3.7113 2.1364 -1.2822
As 0.8734 6.2382 4.2545
As -1.2573 2.3604 1.1290
As 4.3813 3.8383 4.3792
As 1.0902 1.4710 5.6614
As 2.6493 0.6862 1.0043
As 2.8829 4.7335 -0.2779
```

E ... -68.18 eV per cell

4.
# Ba4PaAs4

A relaxed Ba4PaAs4 crystal (PBE, the Alexandria database).

Structure (extended XYZ):
```
9
Lattice="7.0316 0.0000 -3.4798 -1.7221 6.8174 -3.4798 0.0145 0.0186 8.8734" Properties=species:S:1:pos:R:3 pbc="T T T"
Ba 3.5158 0.0000 -1.7399
Ba -0.8610 3.4087 -1.7399
Ba 1.5530 1.9941 3.1382
Ba 3.7709 4.8419 -1.2243
Pa 0.0000 0.0000 0.0000
As 3.5928 4.6133 2.0851
As 0.7235 6.2117 -2.2074
As 0.4862 0.6243 6.1573
As 5.8454 2.2227 -2.2074
```

D(E_F) ... 3.5 states/eV/f.u.
E ... -43.11 eV per cell

5.
# BaPaAs3

A relaxed BaPaAs3 crystal (PBE, the Alexandria database).

Structure (extended XYZ):
```
5
Lattice="-1.0748 1.7982 -5.0669 -0.9442 -5.1499 -1.6274 -5.2929 0.5535 1.3192" Properties=species:S:1:pos:R:3 pbc="T T T"
As -0.4721 -2.5750 -0.8137
As -2.6465 0.2768 0.6596
As -0.5374 0.8991 -2.5334
Pa 0.0000 0.0000 0.0000
Ba -3.6560 -1.3991 -2.6875
```

D(E_F) ... 3.9 states/eV/f.u.
E ... -28.93 eV per cell

6.
# Ba3PaAs4

A relaxed Ba3PaAs4 crystal (PBE, the Alexandria database).

Structure (extended XYZ):
```
16
Lattice="7.8808 0.0308 0.0000 -2.7343 7.5182 0.0000 0.0000 0.0000 9.1810" Properties=species:S:1:pos:R:3 pbc="T T T"
As 6.9994 1.7219 6.0763
As 3.4025 1.5348 8.2294
As 3.0590 1.7065 3.1048
As -0.5379 1.5194 0.9516
As 5.6844 6.0296 8.2294
As 2.0875 5.8425 6.0763
As 1.7440 6.0142 0.9516
As -1.8529 5.8271 3.1048
Pa 5.9106 0.0231 8.0977
Pa 1.9702 0.0077 1.0834
Ba 5.9106 0.0231 3.4696
Ba 1.9702 0.0077 5.7114
Ba 4.5435 3.7822 5.7369
Ba 4.5435 3.7822 1.0840
Ba 0.6030 3.7668 3.4442
Ba 0.6030 3.7668 8.0970
```

D(E_F) ... 11.2 states/eV/f.u.
E ... -84.37 eV per cell

7.
# BaPaAs

A relaxed BaPaAs crystal (PBE, the Alexandria database).

Structure (extended XYZ):
```
6
Lattice="-0.2423 0.0313 5.5813 -2.6336 -0.4594 -2.9077 2.0069 -12.4991 0.1572" Properties=species:S:1:pos:R:3 pbc="T T T"
As -1.1877 -0.1562 2.7453
As -0.0715 -6.4227 0.0329
Pa -0.3919 -5.1647 2.8079
Pa 0.0070 -7.6494 2.8392
Ba 0.6532 -10.8927 0.0894
Ba -0.7825 -1.9506 -0.0230
```

D(E_F) ... 5.1 states/eV/f.u.
E ... -33.89 eV per cell

8.
# BaPaAs2Pd2

A relaxed BaPaAs2Pd2 crystal (PBE, the Alexandria database).

Structure (extended XYZ):
```
6
Lattice="-1.1655 4.1202 1.0618 -2.1431 -2.1416 -3.2066 -5.4236 -2.9816 5.6161" Properties=species:S:1:pos:R:3 pbc="T T T"
Ba 0.0000 0.0000 0.0000
Pa -2.7118 -1.4908 2.8080
As -3.0261 1.1892 1.2282
As -5.7062 -2.1923 2.2431
Pd -5.2968 -0.0591 3.5794
Pd -3.4355 -0.9440 -0.1081
```

D(E_F) ... 4.2 states/eV/f.u.
E ... -36.82 eV per cell

9.
# BaPa2As4Pd

A relaxed BaPa2As4Pd crystal (PBE, the Alexandria database).

Structure (extended XYZ):
```
16
Lattice="-2.9376 3.0174 0.3639 -1.5615 -5.0928 5.0750 8.1248 6.7868 9.3106" Properties=species:S:1:pos:R:3 pbc="T T T"
Ba 5.4105 4.2822 8.1680
Ba -1.7847 0.4293 6.5815
Pa 2.3479 1.1865 9.1149
Pa -1.7533 0.9930 2.1610
Pa 1.2779 3.5250 5.6345
Pa 5.3791 3.7185 12.5885
As -0.7338 -1.1662 3.7463
As 2.0143 3.9187 8.3155
As 4.3596 5.8777 11.0031
As 1.6115 0.7928 6.4339
As 4.0624 3.3934 4.6553
As 0.0000 0.0000 0.0000
As 3.4313 1.9412 11.6016
As 0.1945 2.7702 3.1479
Pd 2.5500 4.1447 10.7644
Pd 1.0758 0.5667 3.9850
```

D(E_F) ... 2.4 states/eV/f.u.
E ... -105.37 eV per cell

10.
# Ba3Pm2PaAs6

A relaxed Ba3Pm2PaAs6 crystal (PBE, the Alexandria database).

Structure (extended XYZ):
```
12
Lattice="7.6225 -0.0030 -0.0013 -3.8120 6.6009 -0.0013 -1.2723 -2.2030 7.4851" Properties=species:S:1:pos:R:3 pbc="T T T"
Ba -2.5042 4.3766 3.7413
Ba 5.0424 0.0182 3.7413
Ba 1.2691 2.1974 3.7413
Pm 0.0058 4.3959 -0.0013
Pm 3.8047 2.2019 -0.0013
Pa 0.0000 0.0000 0.0000
As 3.7580 2.2869 5.9252
As 2.5954 4.4939 1.5702
As -1.2198 2.1080 1.5573
As 0.1027 4.3979 5.9252
As -0.0572 -0.0990 5.9123
As 2.4355 -0.0031 1.5573
```

D(E_F) ... 10.9 states/eV/f.u.
E ... -67.12 eV per cell

11.
# Ba2PrPaAs4

A relaxed Ba2PrPaAs4 crystal (PBE, the Alexandria database).

Structure (extended XYZ):
```
8
Lattice="-1.6707 1.5030 -3.7989 5.3918 -3.7240 -3.8445 -6.2634 -4.7784 0.8640" Properties=species:S:1:pos:R:3 pbc="T T T"
Ba -3.9670 -1.6377 -1.4675
Ba -0.4358 -4.2512 -1.4902
Pr 0.0000 0.0000 0.0000
Pa 1.8606 -1.1105 -3.8217
As -0.7757 -1.2035 -2.6991
As -1.7665 -5.7959 -4.0803
As -3.4764 -4.8436 -0.3874
As 2.6048 -3.6588 -2.5930
```

D(E_F) ... 0.2 states/eV/f.u.
E ... -46.47 eV per cell

12.
# Ba2PaAs3Pt4

A relaxed Ba2PaAs3Pt4 crystal (PBE, the Alexandria database).

Structure (extended XYZ):
```
10
Lattice="4.4348 0.0000 0.0000 0.0000 4.4348 0.0000 0.0000 0.0000 11.6180" Properties=species:S:1:pos:R:3 pbc="T T T"
Ba 2.2174 0.0000 2.6678
Ba 0.0000 2.2174 8.9502
Pa 2.2174 2.2174 5.8090
As 0.0000 0.0000 5.8090
As 2.2174 0.0000 10.2724
As 0.0000 2.2174 1.3455
Pt 2.2174 2.2174 0.0000
Pt 0.0000 0.0000 0.0000
Pt 2.2174 0.0000 7.6285
Pt 0.0000 2.2174 3.9895
```

D(E_F) ... 7.4 states/eV/f.u.
E ... -58.78 eV per cell

| no. | ΔH_f (0 K) (eV/f.u.) | size of the total moment (μB per formula unit) |
| --- | --- | --- |
| 1 | 13.153 | 2.352 |
| 2 | -4.441 | 0.000 |
| 3 | -6.798 | 0.000 |
| 4 | -7.327 | 0.931 |
| 5 | -3.564 | 0.000 |
| 6 | -8.324 | 0.000 |
| 7 | -0.878 | 0.000 |
| 8 | -5.715 | 0.980 |
| 9 | -7.982 | 0.000 |
| 10 | -14.457 | 0.000 |
| 11 | -9.752 | 0.000 |
| 12 | -7.322 | 0.001 |